#one
This record from Alexandria describes CaCo3Au after structural relaxation. The functional is PBE.

Properties
- crystal system = cubic

Lattice parameters (Å, degrees): 4.761 4.761 4.761 90.00 90.00 90.00
Space group Pm-3m (No. 221)
Symmetry-distinct sites (fractional):
Ca 0.000 0.000 0.000 (multiplicity 1)
Co 0.000 0.500 0.500 (multiplicity 3)
Au 0.500 0.500 0.500 (multiplicity 1)

***

#two
This record from Alexandria describes CaCo3Au after structural relaxation. The functional is PBE.

Properties
- crystal system = cubic

Lattice parameters (Å, degrees): 4.448 4.448 4.448 90.00 90.00 90.00
Space group Pm-3m (No. 221)
Symmetry-distinct sites (fractional):
Ca 0.000 0.000 0.000 (multiplicity 1)
Co 0.000 0.000 0.500 (multiplicity 3)
Au 0.500 0.500 0.500 (multiplicity 1)

***

Most stable = #one

***

#one
This record from Alexandria describes CaCr3Au after structural relaxation. The functional is PBE.

Properties
- crystal system = cubic

Lattice parameters (Å, degrees): 5.097 5.097 5.097 90.00 90.00 90.00
Space group Pm-3m (No. 221)
Symmetry-distinct sites (fractional):
Ca 0.000 0.000 0.000 (multiplicity 1)
Cr 0.000 0.500 0.500 (multiplicity 3)
Au 0.500 0.500 0.500 (multiplicity 1)

***

#two
This record from Alexandria describes CaCr3Au after structural relaxation. The functional is PBE.

Properties
- crystal system = cubic

Lattice parameters (Å, degrees): 4.300 4.300 4.300 90.00 90.00 90.00
Space group Pm-3m (No. 221)
Symmetry-distinct sites (fractional):
Ca 0.000 0.000 0.000 (multiplicity 1)
Cr 0.000 0.000 0.500 (multiplicity 3)
Au 0.500 0.500 0.500 (multiplicity 1)

***

Most stable = #one

***

#one
This record from Alexandria describes Cs2CaAu after structural relaxation. The functional is PBE.

Properties
- crystal system = trigonal

Lattice parameters (Å, degrees): 4.5136 4.5136 39.9924 90.00 90.00 120.00
Space group R-3m (No. 166, hexagonal axes)
Symmetry-distinct sites (fractional):
Cs 0.0000 0.0000 0.1078 (multiplicity 6)
Ca 0.0000 0.0000 0.0000 (multiplicity 3)
Au 0.0000 0.0000 0.5000 (multiplicity 3)

***

#two
This record from Alexandria describes Cs2CaAu after structural relaxation. The functional is PBE.

Properties
- crystal system = tetragonal

Lattice parameters (Å, degrees): 13.197 13.197 5.950 90.00 90.00 90.00
Space group I-42d (No. 122)
Symmetry-distinct sites (fractional):
Cs 0.104 0.750 0.125 (multiplicity 8)
Ca 0.000 0.000 0.500 (multiplicity 4)
Au 0.000 0.000 0.000 (multiplicity 4)

***

Most stable = #two

***

#one
This record from Alexandria describes Cs2CaAu2 after structural relaxation. The functional is PBE.

Properties
- crystal system = tetragonal

Lattice parameters (Å, degrees): 10.048 10.048 3.959 90.00 90.00 90.00
Space group P4/mbm (No. 127)
Symmetry-distinct sites (fractional):
Cs 0.130 0.370 0.000 (multiplicity 4)
Ca 0.000 0.000 0.000 (multiplicity 2)
Au 0.174 0.674 0.500 (multiplicity 4)

***

#two
This record from Alexandria describes Cs2CaAu2 after structural relaxation. The functional is PBE.

Properties
- crystal system = tetragonal

Lattice parameters (Å, degrees): 8.577 8.577 5.471 90.00 90.00 90.00
Space group P4/mbm (No. 127)
Symmetry-distinct sites (fractional):
Cs 0.156 0.344 0.000 (multiplicity 4)
Ca 0.000 0.000 0.500 (multiplicity 2)
Au 0.156 0.656 0.500 (multiplicity 4)

***

Most stable = #two

***

#one
This record from Alexandria describes CsCa3Au after structural relaxation. The functional is PBE.

Properties
- crystal system = cubic

Lattice parameters (Å, degrees): 6.003 6.003 6.003 90.00 90.00 90.00
Space group Pm-3m (No. 221)
Symmetry-distinct sites (fractional):
Cs 0.000 0.000 0.000 (multiplicity 1)
Ca 0.000 0.500 0.500 (multiplicity 3)
Au 0.500 0.500 0.500 (multiplicity 1)

***

#two
This record from Alexandria describes CsCa3Au after structural relaxation. The functional is PBE.

Properties
- crystal system = cubic

Lattice parameters (Å, degrees): 5.700 5.700 5.700 90.00 90.00 90.00
Space group Pm-3m (No. 221)
Symmetry-distinct sites (fractional):
Cs 0.000 0.000 0.000 (multiplicity 1)
Ca 0.000 0.000 0.500 (multiplicity 3)
Au 0.500 0.500 0.500 (multiplicity 1)

***

Most stable = #one

***

#one
This record from Alexandria describes CsNaCa2Au after structural relaxation. The functional is PBE.

Properties
- crystal system = tetragonal

Lattice parameters (Å, degrees): 5.875 5.875 6.290 90.00 90.00 90.00
Space group P4/mmm (No. 123)
Symmetry-distinct sites (fractional):
Cs 0.000 0.000 0.000 (multiplicity 1)
Na 0.500 0.500 0.000 (multiplicity 1)
Ca 0.000 0.500 0.500 (multiplicity 2)
Au 0.500 0.500 0.500 (multiplicity 1)

***

#two
This record from Alexandria describes CsNaCa2Au after structural relaxation. The functional is PBE.

Properties
- crystal system = tetragonal

Lattice parameters (Å, degrees): 6.227 6.227 6.805 90.00 90.00 90.00
Space group P4/mmm (No. 123)
Symmetry-distinct sites (fractional):
Cs 0.000 0.000 0.000 (multiplicity 1)
Na 0.000 0.000 0.500 (multiplicity 1)
Ca 0.000 0.500 0.500 (multiplicity 2)
Au 0.500 0.500 0.000 (multiplicity 1)

***

Most stable = #one

***

#one
This record from Alexandria describes CsCaTlAuSe after structural relaxation. The functional is PBE.

Properties
- crystal system = trigonal

Lattice parameters (Å, degrees): 4.3421 4.3421 32.3403 90.00 90.00 120.00
Space group R3m (No. 160, hexagonal axes)
Symmetry-distinct sites (fractional):
Cs 0.0000 0.0000 0.0000 (multiplicity 3)
Ca 0.0000 0.0000 0.1210 (multiplicity 3)
Tl 0.0000 0.0000 0.2333 (multiplicity 3)
Au 0.0000 0.0000 0.8532 (multiplicity 3)
Se 0.0000 0.0000 0.4095 (multiplicity 3)

***

#two
This record from Alexandria describes CsCaTlAuSe after structural relaxation. The functional is PBE.

Properties
- crystal system = monoclinic

Lattice parameters (Å, degrees): 4.067 19.653 4.140 90.00 90.14 90.00
Space group C2 (No. 5)
Symmetry-distinct sites (fractional):
Cs 0.000 0.000 0.000 (multiplicity 2)
Ca 0.000 0.813 0.000 (multiplicity 2)
Tl 0.000 0.177 0.500 (multiplicity 2)
Au 0.000 0.662 0.000 (multiplicity 2)
Se 0.000 0.364 0.500 (multiplicity 2)

***

#three
This record from Alexandria describes CsCaTlAuSe after structural relaxation. The functional is PBE.

Properties
- crystal system = trigonal

Lattice parameters (Å, degrees): 4.4856 4.4856 10.0678 90.00 90.00 120.00
Space group P3m1 (No. 156)
Symmetry-distinct sites (fractional):
Cs 0.0000 0.0000 0.0000 (multiplicity 1)
Ca 0.3333 0.6667 0.6306 (multiplicity 1)
Tl 0.6667 0.3333 0.3088 (multiplicity 1)
Au 0.0000 0.0000 0.4374 (multiplicity 1)
Se 0.6667 0.3333 0.7649 (multiplicity 1)

***

Most stable = #three

***

#one
This record from Alexandria describes Ca4CuAu after structural relaxation. The functional is PBE.

Properties
- crystal system = monoclinic

Lattice parameters (Å, degrees): 8.634 12.642 6.874 90.00 105.72 90.00
Space group C2/c (No. 15)
Symmetry-distinct sites (fractional):
Ca 0.096 0.180 0.035 (multiplicity 8)
Ca 0.192 0.428 0.445 (multiplicity 8)
Cu 0.000 0.001 0.750 (multiplicity 4)
Au 0.000 0.370 0.750 (multiplicity 4)

***

#two
This record from Alexandria describes Ca4CuAu after structural relaxation. The functional is PBE.

Properties
- crystal system = cubic

Lattice parameters (Å, degrees): 9.153 9.153 9.153 90.00 90.00 90.00
Space group F-43m (No. 216)
Symmetry-distinct sites (fractional):
Ca 0.125 0.125 0.125 (multiplicity 16)
Cu 0.250 0.250 0.750 (multiplicity 4)
Au 0.000 0.000 0.500 (multiplicity 4)

***

Most stable = #one